(1)
First-principles (PBE-GGA) data for crystalline Re3Br at its relaxed geometry, as listed in the Alexandria database.

Results
space group = Cmcm (63)
raw formation energy = 1079 meV/atom

POSCAR file:
```
Re3Br
1.0
3.698 -4.204 0.000
3.698 4.204 0.000
0.000 0.000 4.225
Re Br
6 2
Cartesian
1.427 -0.744 1.056
3.698 -2.480 1.056
1.427 0.744 3.169
5.970 -0.744 1.056
5.970 0.744 3.169
3.698 2.480 3.169
3.698 1.035 1.056
3.698 -1.035 3.169
```

=====

(2)
First-principles (PBE-GGA) data for crystalline Pm2Ti2Zn15 at its relaxed geometry, as listed in the Alexandria database.

Results
energy of formation from the pure elements = -4.09 eV/f.u.
space group = R-3m (166)

POSCAR file:
```
Pm2Ti2Zn15
1.0
6.863 -0.067 -0.060
0.824 6.814 -0.060
0.824 0.723 6.776
Zn Pm Ti
15 2 2
Cartesian
3.432 -0.033 -0.030
3.420 3.002 5.699
2.112 4.858 4.329
0.412 0.362 3.388
2.564 0.496 4.806
3.420 6.006 2.328
5.123 0.161 1.910
0.824 5.059 1.910
5.091 1.464 4.329
6.399 2.612 2.328
5.091 4.468 0.957
0.824 2.478 4.806
2.564 4.831 -0.060
0.412 3.407 -0.030
5.123 1.915 -0.060
5.635 4.946 4.407
2.876 2.524 2.249
0.767 0.673 0.600
7.744 6.797 6.056
```

=====

(3)
First-principles (PBE-GGA) data for crystalline CaAgF3 at its relaxed geometry, as listed in the Alexandria database.

Results
space group = Pm-3m (221)
raw formation energy = -1965 meV/atom

POSCAR file:
```
CaAgF3
1.0
4.484 0.000 0.000
0.000 4.484 0.000
0.000 0.000 4.484
F Ag Ca
3 1 1
Cartesian
2.242 0.000 0.000
0.000 2.242 0.000
0.000 0.000 2.242
0.000 0.000 0.000
2.242 2.242 2.242
```

=====

(4)
First-principles (PBE-GGA) data for crystalline NaCa2Si3Au12 at its relaxed geometry, as listed in the Alexandria database.

Results
space group = R-3m (166)
raw formation energy = -133 meV/atom

POSCAR file:
```
NaCa2Si3Au12
1.0
7.562 -0.891 -0.632
2.960 7.015 -0.632
2.960 1.723 6.830
Au Ca Na Si
12 2 1 3
Cartesian
7.701 1.611 4.185
9.992 3.303 5.006
8.277 1.946 1.381
5.780 6.236 1.381
7.701 4.483 0.137
5.780 3.364 5.429
3.489 4.544 0.560
5.674 0.790 0.560
3.489 2.031 4.103
5.204 5.901 4.185
7.807 7.057 5.006
9.992 5.816 1.463
8.125 4.729 3.354
5.356 3.118 2.212
0.000 0.000 0.000
1.480 0.861 3.415
1.480 3.508 -0.316
3.781 -0.446 -0.316
```

=====

(5)
First-principles (PBE-GGA) data for crystalline ThAlZn11 at its relaxed geometry, as listed in the Alexandria database.

Results
energy of formation from the pure elements = -1.93 eV/f.u.
space group = C2/m (12)

POSCAR file:
```
ThAlZn11
1.0
4.848 0.039 2.020
2.414 6.366 1.006
-0.027 0.019 6.892
Zn Al Th
11 1 1
Cartesian
2.924 1.416 6.603
3.969 2.297 4.116
1.872 1.396 2.299
0.843 2.278 4.792
3.266 4.126 5.802
2.411 0.029 4.456
6.392 4.146 5.126
5.363 5.028 7.619
4.312 5.008 3.315
-0.013 0.010 3.446
1.207 3.183 0.503
3.631 3.202 1.513
0.000 0.000 0.000
```

=====

(6)
First-principles (PBE-GGA) data for crystalline SrSnPO2 at its relaxed geometry, as listed in the Alexandria database.

Results
space group = P4/mmm (123)
raw formation energy = -104 meV/atom

POSCAR file:
```
SrSnPO2
1.0
4.447 0.000 0.000
0.000 4.447 0.000
0.000 0.000 6.108
P O Sn Sr
1 2 1 1
Cartesian
0.000 0.000 3.054
2.224 0.000 0.000
0.000 2.224 0.000
2.224 2.224 3.054
0.000 0.000 0.000
```

=====

Volume / A^3/atom: 16.42; 16.73; 18.03; 22.23; 16.34; 24.16